(1)
The following is a DFT calculation (PBE) of an optimized crystal structure of KCrAs4.

The structure in extended XYZ format:
```
6
Lattice="0.000 4.046 4.046 4.046 0.000 4.046 4.046 4.046 0.000" Properties=species:S:1:pos:R:3 pbc="T T T"
K 0.000 0.000 0.000
Cr 2.023 2.023 2.023
As 5.039 3.053 3.053
As 3.053 5.039 3.053
As 3.053 3.053 5.039
As 5.039 5.039 5.039
```

Fermi-level density of states, states/eV per atom: 0.343
Magnetization, μB per atom: 0.83
Formation energy, kJ/mol of atoms: 27.1



(2)
The following is a DFT calculation (PBE) of an optimized crystal structure of KCrAs3.

The structure in extended XYZ format:
```
5
Lattice="5.371 0.000 0.000 0.000 5.371 0.000 0.000 0.000 5.371" Properties=species:S:1:pos:R:3 pbc="T T T"
K 0.000 0.000 0.000
Cr 2.686 2.686 2.686
As 0.000 0.000 2.686
As 0.000 2.686 0.000
As 2.686 0.000 0.000
```

Fermi-level density of states, states/eV per atom: 1.543
Magnetization, μB per atom: 0.71
Polymorph energy (0 for the lowest one), eV per atom: 1.689
Formation energy, kJ/mol of atoms: 171.2



(3)
The following is a DFT calculation (PBE) of an optimized crystal structure of K6CrAs4.

The structure in extended XYZ format:
```
22
Lattice="10.212 0.000 0.000 -5.106 8.844 0.000 0.000 0.000 8.160" Properties=species:S:1:pos:R:3 pbc="T T T"
K -2.079 4.696 0.000
K 0.000 2.565 5.558
K -2.885 7.562 5.558
K 2.221 1.282 1.479
K 2.079 4.696 0.000
K 0.000 8.296 0.000
K 5.106 0.548 4.080
K 3.027 4.148 4.080
K 2.885 7.562 5.558
K 7.991 1.282 1.479
K 5.106 6.279 1.479
K 7.185 4.148 4.080
Cr 0.000 5.896 3.189
Cr 5.106 2.948 7.268
As 0.000 3.674 2.444
As -1.924 7.007 2.444
As 0.000 5.896 5.499
As 3.182 1.837 6.524
As 1.924 7.007 2.444
As 5.106 2.948 1.419
As 7.030 1.837 6.524
As 5.106 5.170 6.524
```

Magnetization, μB per atom: 0.00
Formation energy, kJ/mol of atoms: -35.7



(4)
The following is a DFT calculation (PBE) of an optimized crystal structure of K2NaCrAs.

The structure in extended XYZ format:
```
5
Lattice="6.724 0.000 0.000 0.000 6.724 0.000 0.000 0.000 4.696" Properties=species:S:1:pos:R:3 pbc="T T T"
K 0.000 3.362 0.000
K 3.362 0.000 0.000
Na 0.000 0.000 2.348
Cr 3.362 3.362 0.000
As 3.362 3.362 2.348
```

Fermi-level density of states, states/eV per atom: 0.430
Magnetization, μB per atom: 0.83
Polymorph energy (0 for the lowest one), eV per atom: 0.000
Formation energy, kJ/mol of atoms: 18.3



(5)
The following is a DFT calculation (PBE) of an optimized crystal structure of K2NaCrAs.

The structure in extended XYZ format:
```
5
Lattice="6.016 0.000 0.000 0.000 6.016 0.000 0.000 0.000 5.406" Properties=species:S:1:pos:R:3 pbc="T T T"
K 0.000 3.008 0.000
K 3.008 0.000 0.000
Na 0.000 0.000 0.000
Cr 0.000 0.000 2.703
As 3.008 3.008 2.703
```

Fermi-level density of states, states/eV per atom: 0.610
Magnetization, μB per atom: 0.80
Polymorph energy (0 for the lowest one), eV per atom: 0.706
Formation energy, kJ/mol of atoms: 86.5



(6)
The following is a DFT calculation (PBE) of an optimized crystal structure of KNbCrAs2.

The structure in extended XYZ format:
```
5
Lattice="4.849 0.000 0.000 0.000 4.849 0.000 0.000 0.000 4.727" Properties=species:S:1:pos:R:3 pbc="T T T"
K 0.000 0.000 0.000
Nb 2.424 2.424 0.000
Cr 2.424 2.424 2.363
As 0.000 2.424 2.363
As 2.424 0.000 2.363
```

Fermi-level density of states, states/eV per atom: 0.924
Magnetization, μB per atom: 0.24
Formation energy, kJ/mol of atoms: 50.8